Below is an optimized crystal structure of Sc4NiPt2, with properties calculated at the PBE level.

a = 4.5825 Å, b = 4.5825 Å, c = 22.2874 Å
α = 90.00°, β = 90.00°, γ = 120.00°
Space group R-3m (No. 166, hexagonal axes)
Unique sites:
Sc  0.0000  0.0000  0.1239
Sc  0.0000  0.0000  0.3744
Ni  0.0000  0.0000  0.5000
Pt  0.0000  0.0000  0.2486

Summary:
- DFT formation energy (eV/atom) = -0.906
- calculated total energy (eV/atom) = -7.08

=====

Below is an optimized crystal structure of Nd6YTm2Th, with properties calculated at the PBE level.

a = 9.367 Å, b = 15.107 Å, c = 9.690 Å
α = 90.00°, β = 97.41°, γ = 90.00°
Space group C2/c (No. 15)
Unique sites:
Nd  0.064  0.173  0.442
Nd  0.095  0.391  0.619
Nd  0.209  0.219  0.814
Y  0.000  0.409  0.250
Tm  0.247  0.046  0.051
Th  0.000  0.032  0.750

Summary:
- DFT formation energy (eV/atom) = 0.140
- calculated total energy (eV/atom) = -5.00

=====

Below is an optimized crystal structure of La7Sm4Ho, with properties calculated at the PBE level.

a = 16.593 Å, b = 6.142 Å, c = 9.506 Å
α = 90.00°, β = 116.40°, γ = 90.00°
Space group C2/m (No. 12)
Unique sites:
La  0.000  0.000  0.000
La  0.082  0.500  0.434
La  0.205  0.500  0.875
La  0.208  0.500  0.220
Sm  0.073  0.000  0.699
Sm  0.172  0.000  0.393
Ho  0.000  0.500  0.000

Summary:
- DFT formation energy (eV/atom) = 0.204
- calculated total energy (eV/atom) = -4.63

=====

Below is an optimized crystal structure of KNpSi2O8, with properties calculated at the PBE level.

a = 9.291 Å, b = 5.602 Å, c = 7.897 Å
α = 90.00°, β = 104.10°, γ = 90.00°
Space group C2/m (No. 12)
Unique sites:
K  0.000  0.000  0.000
Np  0.000  0.000  0.500
Si  0.106  0.500  0.266
O  0.022  0.260  0.318
O  0.121  0.500  0.066
O  0.224  0.000  0.603

Summary:
- raw formation energy (meV/atom) = -2409
- calculated total energy (eV/atom) = -7.79

=====

Below is an optimized crystal structure of Al7Zn3Ga2, with properties calculated at the PBE level.

a = 5.043 Å, b = 2.753 Å, c = 15.675 Å
α = 90.00°, β = 94.64°, γ = 90.00°
Space group P2/m (No. 10)
Unique sites:
Al  0.000  0.000  0.000
Al  0.214  0.500  0.445
Al  0.215  0.500  0.153
Al  0.302  0.000  0.851
Zn  0.348  0.000  0.598
Zn  0.500  0.500  0.000
Ga  0.060  0.500  0.708

Summary:
- DFT formation energy (eV/atom) = 0.102
- calculated total energy (eV/atom) = -2.90

=====

Below is an optimized crystal structure of ScPaTl2, with properties calculated at the PBE level.

a = 4.773 Å, b = 4.773 Å, c = 4.504 Å
α = 90.00°, β = 90.00°, γ = 90.00°
Space group P4/mmm (No. 123)
Unique sites:
Sc  0.000  0.000  0.000
Pa  0.500  0.500  0.000
Tl  0.000  0.500  0.500

Summary:
- DFT formation energy (eV/atom) = 0.071
- calculated total energy (eV/atom) = -5.07

=====

Which formula does entry 1 have? Sc4NiPt2

=====

What is the calculated total energy in the fourth record? -7.79 eV/atom

=====

What is the calculated total energy in the first record? -7.08 eV/atom

=====

calculated total energy of number 6 (ScPaTl2)? -5.07 eV/atom